The following is a DFT calculation (PBE with a Hubbard U) of a geometry-optimized Ba2Fe2Se2OF2 structure.

abc: 4.2653 4.2653 19.9269
angles: 90.00 90.00 90.00
Space group I4/mmm (No. 139)
One atom of each set of equivalent atoms:
Ba 0.0000 0.0000 0.1699
Fe 0.0000 0.5000 0.0000
Se 0.0000 0.0000 0.4097
O 0.0000 0.0000 0.0000
F 0.0000 0.5000 0.2500

Summary:
Its crystal system is tetragonal. As for the calculated total energy: -0.4104 Ry per atom. The calculation puts the total magnetization at 8.0 μB/f.u. The density of states at the Fermi level is 0.00 states/eV per atom.